The following is a PBE-GGA calculation of a geometry-optimized NaSr2Li9 structure, from Alexandria.

The structure belongs to space group R-3m (No. 166, hexagonal axes); the cell edges are 6.2665, 6.2665 and 29.6835 Å and the angles 90.00°, 90.00° and 120.00°. The distinct sites, in fractional coordinates, are Na at (0.0000, 0.0000, 0.0000), Sr at (0.0000, 0.0000, 0.1376), Li at (0.0000, 0.0000, 0.3331), Li at (0.0000, 0.0000, 0.5000) and Li at (0.0009, 0.5004, 0.9194).

The energy relative to the elements comes out at 0.53 eV per formula unit. As for the total energy: -64.1 eV for the cell shown. As for the crystal system: trigonal.

---

The following is a PBE-GGA calculation of a geometry-optimized Na2Sr2Li structure, from Alexandria.

The structure belongs to space group P4/mbm (No. 127); the cell edges are 9.927, 9.927 and 4.574 Å and the angles 90.00°, 90.00° and 90.00°. The distinct sites, in fractional coordinates, are Na at (0.143, 0.357, 0.000), Sr at (0.155, 0.655, 0.500) and Li at (0.000, 0.000, 0.500).

The energy relative to the elements comes out at 1.01 eV per formula unit. As for the total energy: -13.8 eV for the cell shown. The relative energy among the computed polymorphs comes out at 0.84 eV/f.u. As for the crystal system: tetragonal.

---

The following is a PBE-GGA calculation of a geometry-optimized NaSr2Li structure, from Alexandria.

The structure belongs to space group Fm-3m (No. 225); the cell edges are 8.744, 8.744 and 8.744 Å and the angles 90.00°, 90.00° and 90.00°. The distinct sites, in fractional coordinates, are Na at (0.000, 0.000, 0.000), Sr at (0.250, 0.250, 0.250) and Li at (0.000, 0.000, 0.500).

The energy relative to the elements comes out at 0.14 eV per formula unit. As for the total energy: -25.8 eV for the cell shown. The relative energy among the computed polymorphs comes out at 0.04 eV/f.u. As for the crystal system: cubic.

---

The following is a PBE-GGA calculation of a geometry-optimized Na6Sr12Li structure, from Alexandria.

The structure belongs to space group R-3 (No. 148, hexagonal axes); the cell edges are 13.4955, 13.4955 and 17.4563 Å and the angles 90.00°, 90.00° and 120.00°. The distinct sites, in fractional coordinates, are Na at (0.0412, 0.4428, 0.2021), Sr at (0.0283, 0.1850, 0.3178), Sr at (0.0578, 0.8470, 0.9101) and Li at (0.0000, 0.0000, 0.5000).

The energy relative to the elements comes out at 1.27 eV per formula unit. As for the total energy: -86.2 eV for the cell shown. As for the crystal system: trigonal.

---

The following is a PBE-GGA calculation of a geometry-optimized Na5Sr3Li2 structure, from Alexandria.

The structure belongs to space group Ibam (No. 72); the cell edges are 14.646, 14.814 and 7.390 Å and the angles 90.00°, 90.00° and 90.00°. The distinct sites, in fractional coordinates, are Na at (0.000, 0.000, 0.250), Na at (0.129, 0.153, 0.000), Na at (0.247, 0.000, 0.250), Sr at (0.000, 0.500, 0.250), Sr at (0.114, 0.262, 0.500) and Li at (0.146, 0.352, 0.000).

The energy relative to the elements comes out at 0.86 eV per formula unit. As for the total energy: -58.4 eV for the cell shown. As for the crystal system: orthorhombic.

---

The following is a PBE-GGA calculation of a geometry-optimized Na3Sr2Li structure, from Alexandria.

The structure belongs to space group Cmcm (No. 63); the cell edges are 6.038, 23.454 and 6.886 Å and the angles 90.00°, 90.00° and 90.00°. The distinct sites, in fractional coordinates, are Na at (0.000, 0.126, 0.015), Na at (0.000, 0.365, 0.250), Sr at (0.000, 0.271, 0.750), Sr at (0.000, 0.453, 0.750) and Li at (0.000, 0.017, 0.750).

The energy relative to the elements comes out at 0.43 eV per formula unit. As for the total energy: -35.2 eV for the cell shown. The relative energy among the computed polymorphs comes out at 0.08 eV/f.u. As for the crystal system: orthorhombic.

---

The following is a PBE-GGA calculation of a geometry-optimized Na2Sr2Li15 structure, from Alexandria.

The structure belongs to space group R-3m (No. 166, hexagonal axes); the cell edges are 10.5110, 10.5110 and 15.3451 Å and the angles 90.00°, 90.00° and 120.00°. The distinct sites, in fractional coordinates, are Na at (0.0000, 0.0000, 0.1004), Sr at (0.0000, 0.0000, 0.3485), Li at (0.0000, 0.3029, 0.0000), Li at (0.0000, 0.5000, 0.5000) and Li at (0.0015, 0.5007, 0.1532).

The energy relative to the elements comes out at 0.49 eV per formula unit. As for the total energy: -102.7 eV for the cell shown. As for the crystal system: trigonal.

---

The following is a PBE-GGA calculation of a geometry-optimized NaSr8Li2 structure, from Alexandria.

The structure belongs to space group Immm (No. 71); the cell edges are 5.719, 10.452 and 17.804 Å and the angles 90.00°, 90.00° and 90.00°. The distinct sites, in fractional coordinates, are Na at (0.000, 0.000, 0.000), Sr at (0.000, 0.187, 0.500), Sr at (0.000, 0.289, 0.165), Sr at (0.000, 0.500, 0.358) and Li at (0.000, 0.000, 0.298).

The energy relative to the elements comes out at 0.84 eV per formula unit. As for the total energy: -35.5 eV for the cell shown. The relative energy among the computed polymorphs comes out at 0.11 eV/f.u. As for the crystal system: orthorhombic.

---

The following is a PBE-GGA calculation of a geometry-optimized Na2Sr2Li structure, from Alexandria.

The structure belongs to space group Immm (No. 71); the cell edges are 4.475, 7.785 and 11.754 Å and the angles 90.00°, 90.00° and 90.00°. The distinct sites, in fractional coordinates, are Na at (0.000, 0.219, 0.000), Sr at (0.000, 0.500, 0.270) and Li at (0.000, 0.000, 0.500).

The energy relative to the elements comes out at 0.24 eV per formula unit. As for the total energy: -15.3 eV for the cell shown. The relative energy among the computed polymorphs comes out at 0.07 eV/f.u. As for the crystal system: orthorhombic.

---

The following is a PBE-GGA calculation of a geometry-optimized Na4Sr2Li structure, from Alexandria.

The structure belongs to space group Cmmm (No. 65); the cell edges are 4.045, 34.571 and 3.996 Å and the angles 90.00°, 90.00° and 90.00°. The distinct sites, in fractional coordinates, are Na at (0.000, 0.053, 0.000), Na at (0.000, 0.383, 0.500), Sr at (0.000, 0.198, 0.000) and Li at (0.000, 0.500, 0.500).

The energy relative to the elements comes out at 0.50 eV per formula unit. As for the total energy: -20.1 eV for the cell shown. The relative energy among the computed polymorphs comes out at 0.00 eV/f.u. As for the crystal system: orthorhombic.